[1]
Here is a geometry-optimized CeSn2Pb structure from the Alexandria database. Energies are from GGA-PBE.

Cell: 4.765 4.786 4.786 Å, 90.00 90.00 90.00°
Last column: magnetic moment on the atom in μB.
Element x y z (fractional)
Pb1 0.500 0.000 0.000  0.01
Sn1 0.000 0.000 0.500  0.00
Sn2 0.000 0.500 0.000  0.00
Ce1 0.500 0.500 0.500  0.48

## Properties
- Calculated formation energy: -0.465 eV per atom
- M_tot: 0.566 μB per cell
- Symmetry: P4/mmm, No. 123

---

[2]
Here is a geometry-optimized TbCeSnPb structure from the Alexandria database. Energies are from GGA-PBE.

Cell: 5.458 5.458 5.458 Å, 60.00 60.00 60.00°
Last column: magnetic moment on the atom in μB.
Element x y z (fractional)
Pb1 0.250 0.250 0.250  0.04
Tb1 0.000 0.000 0.000  0.25
Sn1 0.750 0.750 0.750  0.05
Ce1 0.500 0.500 0.500  0.98

## Properties
- Calculated formation energy: -0.457 eV per atom
- M_tot: 1.763 μB per cell
- Symmetry: F-43m, No. 216

---

[3]
Here is a geometry-optimized Ce4SnTe2Pb structure from the Alexandria database. Energies are from GGA-PBE.

Cell: 4.547 7.752 7.876 Å, 70.21 90.00 90.00°
Last column: magnetic moment on the atom in μB.
Element x y z (fractional)
Ce1 0.000 0.747 0.753  0.78
Ce2 0.000 0.253 0.247  0.78
Ce3 0.500 0.748 0.249  0.78
Ce4 0.500 0.252 0.751  0.78
Sn1 0.500 0.500 0.000  -0.04
Te1 0.000 0.000 0.000  -0.02
Te2 0.500 0.000 0.500  -0.02
Pb1 0.000 0.500 0.500  -0.03

## Properties
- DFT total energy: -5.63 eV per atom
- M_tot: 3.399 μB per cell
- Symmetry: P2/m, No. 10

---

[4]
Here is a geometry-optimized CeTlSnPb structure from the Alexandria database. Energies are from GGA-PBE.

Cell: 4.813 4.794 4.841 Å, 90.00 90.00 90.00°
Last column: magnetic moment on the atom in μB.
Element x y z (fractional)
Ce1 0.000 0.500 0.500  0.75
Tl1 0.000 0.000 0.000  0.00
Sn1 0.500 0.000 0.500  -0.01
Pb1 0.500 0.500 0.000  0.00

## Properties
- Calculated formation energy: -0.384 eV per atom
- M_tot: 0.836 μB per cell
- Symmetry: Pmmm, No. 47

---

[5]
Here is a geometry-optimized CeYSnPb structure from the Alexandria database. Energies are from GGA-PBE.

Cell: 5.454 5.454 5.454 Å, 60.00 60.00 60.00°
Last column: magnetic moment on the atom in μB.
Element x y z (fractional)
Pb1 0.000 0.000 0.000  0.04
Y1 0.750 0.750 0.750  0.20
Sn1 0.500 0.500 0.500  0.04
Ce1 0.250 0.250 0.250  0.97

## Properties
- Calculated formation energy: -0.468 eV per atom
- M_tot: 1.747 μB per cell
- Symmetry: F-43m, No. 216

---

[6]
Here is a geometry-optimized SrCePb2 structure from the Alexandria database. Energies are from GGA-PBE.

Cell: 4.528 5.337 5.337 Å, 90.00 90.00 90.00°
Last column: magnetic moment on the atom in μB.
Element x y z (fractional)
Pb1 0.000 0.000 0.500  -0.01
Pb2 0.000 0.500 0.000  -0.01
Sr1 0.500 0.500 0.500  0.00
Ce1 0.500 0.000 0.000  0.90

## Properties
- Calculated formation energy: -0.411 eV per atom
- M_tot: 1.008 μB per cell
- Symmetry: P4/mmm, No. 123

---

[7]
Here is a geometry-optimized Sr5CePb6 structure from the Alexandria database. Energies are from GGA-PBE.

Cell: 6.054 7.605 9.750 Å, 67.04 82.88 90.00°
Last column: magnetic moment on the atom in μB.
Element x y z (fractional)
Pb1 0.815 0.607 0.315  0.00
Pb2 0.815 0.078 0.315  0.00
Pb3 0.500 0.773 0.000  0.00
Pb4 0.500 0.227 0.000  0.00
Pb5 0.185 0.922 0.685  0.00
Pb6 0.185 0.393 0.685  0.00
Sr1 0.694 0.178 0.645  0.00
Sr2 0.321 0.334 0.332  0.00
Sr3 0.000 0.500 0.000  0.00
Sr4 0.679 0.666 0.668  0.00
Sr5 0.306 0.822 0.355  0.00
Ce1 0.000 0.000 0.000  0.88

## Properties
- Calculated formation energy: -0.496 eV per atom
- M_tot: 0.918 μB per cell
- Symmetry: C2/m, No. 12

---

[8]
Here is a geometry-optimized SrCe4Pb4 structure from the Alexandria database. Energies are from GGA-PBE.

Cell: 6.378 10.556 10.556 Å, 90.00 90.00 90.00°
Last column: magnetic moment on the atom in μB.
Element x y z (fractional)
Sr1 0.000 0.000 0.000  0.00
Sr2 0.500 0.500 0.500  0.00
Ce1 0.407 0.362 0.895  0.89
Ce2 0.907 0.605 0.862  0.89
Ce3 0.407 0.638 0.105  0.89
Ce4 0.093 0.138 0.605  0.89
Ce5 0.593 0.895 0.638  0.89
Ce6 0.093 0.862 0.395  0.89
Ce7 0.907 0.395 0.138  0.89
Ce8 0.593 0.105 0.362  0.89
Pb1 0.578 0.795 0.348  -0.01
Pb2 0.578 0.205 0.652  -0.01
Pb3 0.078 0.848 0.705  -0.01
Pb4 0.922 0.295 0.848  -0.01
Pb5 0.922 0.705 0.152  -0.01
Pb6 0.422 0.348 0.205  -0.01
Pb7 0.422 0.652 0.795  -0.01
Pb8 0.078 0.152 0.295  -0.01

## Properties
- Calculated formation energy: -0.158 eV per atom
- M_tot: 8.571 μB per cell
- Symmetry: P4_2/n, No. 86

---

[9]
Here is a geometry-optimized SrCePb4 structure from the Alexandria database. Energies are from GGA-PBE.

Cell: 6.575 6.575 6.575 Å, 60.00 60.00 60.00°
Last column: magnetic moment on the atom in μB.
Element x y z (fractional)
Pb1 0.626 0.626 0.123  0.01
Pb2 0.626 0.123 0.626  0.01
Pb3 0.626 0.626 0.626  0.01
Pb4 0.123 0.626 0.626  0.01
Sr1 0.250 0.250 0.250  0.04
Ce1 0.000 0.000 0.000  1.28

## Properties
- Calculated formation energy: -0.223 eV per atom
- M_tot: 1.858 μB per cell
- Symmetry: F-43m, No. 216

---

[10]
Here is a geometry-optimized Sr2CePb3 structure from the Alexandria database. Energies are from GGA-PBE.

Cell: 5.903 9.322 7.766 Å, 90.00 90.00 71.54°
Last column: magnetic moment on the atom in μB.
Element x y z (fractional)
Sr1 0.000 0.000 0.000  0.00
Sr2 0.000 0.000 0.500  -0.01
Sr3 0.334 0.333 0.500  0.00
Sr4 0.666 0.667 0.500  0.00
Ce1 0.339 0.321 0.000  0.93
Ce2 0.661 0.679 0.000  0.93
Pb1 0.829 0.342 0.769  0.01
Pb2 0.500 0.000 0.246  0.00
Pb3 0.171 0.658 0.231  0.01
Pb4 0.829 0.342 0.231  0.01
Pb5 0.171 0.658 0.769  0.01
Pb6 0.500 0.000 0.754  0.00

## Properties
- Calculated formation energy: -0.428 eV per atom
- M_tot: 2.182 μB per cell
- Symmetry: Cmmm, No. 65

---

[11]
Here is a geometry-optimized SrCePb2 structure from the Alexandria database. Energies are from GGA-PBE.

Cell: 3.886 3.886 10.676 Å, 79.51 79.51 60.00°
Last column: magnetic moment on the atom in μB.
Element x y z (fractional)
Pb1 0.749 0.749 0.754  0.00
Pb2 0.251 0.251 0.246  0.00
Sr1 0.500 0.500 0.500  -0.01
Ce1 0.000 0.000 0.000  1.04

## Properties
- Calculated formation energy: -0.264 eV per atom
- M_tot: 1.386 μB per cell
- Symmetry: R-3m, No. 166

---

[12]
Here is a geometry-optimized SrCePb6 structure from the Alexandria database. Energies are from GGA-PBE.

Cell: 4.957 4.957 10.021 Å, 90.00 90.00 90.00°
Last column: magnetic moment on the atom in μB.
Element x y z (fractional)
Sr1 0.000 0.000 0.000  0.00
Ce1 0.000 0.000 0.500  0.88
Pb1 0.500 0.500 0.000  -0.01
Pb2 0.500 0.500 0.500  0.01
Pb3 0.500 0.000 0.255  0.01
Pb4 0.500 0.000 0.745  0.01
Pb5 0.000 0.500 0.255  0.01
Pb6 0.000 0.500 0.745  0.01

## Properties
- Calculated formation energy: -0.345 eV per atom
- M_tot: 1.045 μB per cell
- Symmetry: P4/mmm, No. 123